*a*
Here is UMn2W after structural relaxation from the Alexandria database. Energies are from GGA-PBE. Values from VASP.

```
&SYSTEM
  ibrav = 0, nat = 4, ntyp = 3
/
ATOMIC_SPECIES
U 238.03 U.upf
Mn 54.94 Mn.upf
W 183.84 W.upf
CELL_PARAMETERS angstrom
2.923 0.000 0.000
0.000 2.923 0.000
0.000 0.000 6.965
ATOMIC_POSITIONS crystal
U 0.000 0.000 0.000
Mn 0.500 0.500 0.287
Mn 0.500 0.500 0.713
W 0.000 0.000 0.500
```

Results
Volume in Å³ per atom: 14.879
SG: P4/mmm (123)
DOS(E_F) in states/eV per atom: 1.074

*b*
Here is UMn2W after structural relaxation from the Alexandria database. Energies are from GGA-PBE. Values from VASP.

```
&SYSTEM
  ibrav = 0, nat = 4, ntyp = 3
/
ATOMIC_SPECIES
U 238.03 U.upf
Mn 54.94 Mn.upf
W 183.84 W.upf
CELL_PARAMETERS angstrom
1.426 0.823 8.898
-1.426 0.823 8.898
0.000 -1.647 8.898
ATOMIC_POSITIONS crystal
U 0.000 0.000 0.000
Mn 0.242 0.242 0.242
Mn 0.758 0.758 0.758
W 0.500 0.500 0.500
```

Results
Volume in Å³ per atom: 15.675
SG: R-3m (166)
DOS(E_F) in states/eV per atom: 1.676

The data favor *a*; the next most stable structure lies 342 meV per atom above it.

*a*
Here is MnV5 after structural relaxation from the Alexandria database. Energies are from GGA-PBE. Values from VASP.

```
&SYSTEM
  ibrav = 0, nat = 6, ntyp = 2
/
ATOMIC_SPECIES
Mn 54.94 Mn.upf
V 50.94 V.upf
CELL_PARAMETERS angstrom
4.704 -1.466 0.000
4.704 1.466 0.000
-1.929 0.000 5.603
ATOMIC_POSITIONS crystal
Mn 0.000 0.000 0.000
V 0.000 0.000 0.500
V 0.337 0.337 0.674
V 0.338 0.338 0.163
V 0.662 0.662 0.837
V 0.663 0.663 0.326
```

Results
Volume in Å³ per atom: 12.879
SG: C2/m (12)
DOS(E_F) in states/eV per atom: 1.390

*b*
Here is MnV5 after structural relaxation from the Alexandria database. Energies are from GGA-PBE. Values from VASP.

```
&SYSTEM
  ibrav = 0, nat = 6, ntyp = 2
/
ATOMIC_SPECIES
Mn 54.94 Mn.upf
V 50.94 V.upf
CELL_PARAMETERS angstrom
2.083 -6.287 0.000
2.083 6.287 0.000
0.000 0.000 2.948
ATOMIC_POSITIONS crystal
Mn 0.000 0.000 0.000
V 0.161 0.839 0.500
V 0.333 0.667 0.000
V 0.500 0.500 0.500
V 0.667 0.333 0.000
V 0.839 0.161 0.500
```

Results
Volume in Å³ per atom: 12.868
SG: Cmmm (65)
DOS(E_F) in states/eV per atom: 1.390

The data favor *a*; the next most stable structure lies 7 meV per atom above it.

*a*
Here is Mn2V3 after structural relaxation from the Alexandria database. Energies are from GGA-PBE. Values from VASP.

```
&SYSTEM
  ibrav = 0, nat = 20, ntyp = 2
/
ATOMIC_SPECIES
Mn 54.94 Mn.upf
V 50.94 V.upf
CELL_PARAMETERS angstrom
6.680 0.000 0.000
0.000 6.130 0.000
0.000 0.000 6.325
ATOMIC_POSITIONS crystal
Mn 0.101 0.191 0.117
Mn 0.101 0.809 0.617
Mn 0.399 0.309 0.617
Mn 0.399 0.691 0.117
Mn 0.601 0.309 0.883
Mn 0.601 0.691 0.383
Mn 0.899 0.191 0.383
Mn 0.899 0.809 0.883
V 0.000 0.194 0.750
V 0.000 0.806 0.250
V 0.188 0.500 0.413
V 0.188 0.500 0.913
V 0.312 0.000 0.413
V 0.312 0.000 0.913
V 0.500 0.306 0.250
V 0.500 0.694 0.750
V 0.688 0.000 0.087
V 0.688 0.000 0.587
V 0.812 0.500 0.087
V 0.812 0.500 0.587
```

Results
Volume in Å³ per atom: 12.949
SG: Pbcn (60)
DOS(E_F) in states/eV per atom: 1.277

*b*
Here is Mn2V3 after structural relaxation from the Alexandria database. Energies are from GGA-PBE. Values from VASP.

```
&SYSTEM
  ibrav = 0, nat = 10, ntyp = 2
/
ATOMIC_SPECIES
Mn 54.94 Mn.upf
V 50.94 V.upf
CELL_PARAMETERS angstrom
2.888 0.000 0.000
0.000 2.888 0.000
0.000 0.000 14.590
ATOMIC_POSITIONS crystal
Mn 0.000 0.000 0.098
Mn 0.000 0.000 0.295
Mn 0.000 0.000 0.705
Mn 0.000 0.000 0.902
V 0.000 0.000 0.500
V 0.500 0.500 0.000
V 0.500 0.500 0.197
V 0.500 0.500 0.393
V 0.500 0.500 0.607
V 0.500 0.500 0.803
```

Results
Volume in Å³ per atom: 12.171
SG: P4/mmm (123)
DOS(E_F) in states/eV per atom: 0.493

The data favor *b*; the next most stable structure lies 454 meV per atom above it.

*a*
Here is MnVW2 after structural relaxation from the Alexandria database. Energies are from GGA-PBE. Values from VASP.

```
&SYSTEM
  ibrav = 0, nat = 4, ntyp = 3
/
ATOMIC_SPECIES
Mn 54.94 Mn.upf
V 50.94 V.upf
W 183.84 W.upf
CELL_PARAMETERS angstrom
4.299 0.000 0.000
0.000 4.299 0.000
0.000 0.000 3.041
ATOMIC_POSITIONS crystal
Mn 0.000 0.000 0.000
V 0.500 0.500 0.000
W 0.000 0.500 0.500
W 0.500 0.000 0.500
```

Results
Volume in Å³ per atom: 14.052
SG: P4/mmm (123)
DOS(E_F) in states/eV per atom: 0.808

*b*
Here is MnVW2 after structural relaxation from the Alexandria database. Energies are from GGA-PBE. Values from VASP.

```
&SYSTEM
  ibrav = 0, nat = 4, ntyp = 3
/
ATOMIC_SPECIES
Mn 54.94 Mn.upf
V 50.94 V.upf
W 183.84 W.upf
CELL_PARAMETERS angstrom
3.041 0.000 0.000
0.000 3.041 0.000
0.000 0.000 6.091
ATOMIC_POSITIONS crystal
Mn 0.000 0.000 0.000
V 0.000 0.000 0.500
W 0.500 0.500 0.248
W 0.500 0.500 0.752
```

Results
Volume in Å³ per atom: 14.083
SG: P4/mmm (123)
DOS(E_F) in states/eV per atom: 0.739

*c*
Here is MnVW2 after structural relaxation from the Alexandria database. Energies are from GGA-PBE. Values from VASP.

```
&SYSTEM
  ibrav = 0, nat = 8, ntyp = 3
/
ATOMIC_SPECIES
Mn 54.94 Mn.upf
V 50.94 V.upf
W 183.84 W.upf
CELL_PARAMETERS angstrom
-3.432 3.432 2.609
3.432 -3.432 2.609
3.432 3.432 -2.609
ATOMIC_POSITIONS crystal
Mn 0.000 0.000 0.000
Mn 0.750 0.250 0.500
V 0.250 0.750 0.500
V 0.500 0.500 0.000
W 0.108 0.625 0.983
W 0.375 0.358 0.483
W 0.642 0.125 0.017
W 0.875 0.892 0.517
```

Results
Volume in Å³ per atom: 15.367
SG: I-42d (122)
DOS(E_F) in states/eV per atom: 1.190

The data favor *a*; the next most stable structure lies 12 meV per atom above it.

*a*
Here is MnV6W2 after structural relaxation from the Alexandria database. Energies are from GGA-PBE. Values from VASP.

```
&SYSTEM
  ibrav = 0, nat = 9, ntyp = 3
/
ATOMIC_SPECIES
Mn 54.94 Mn.upf
V 50.94 V.upf
W 183.84 W.upf
CELL_PARAMETERS angstrom
3.589 -3.883 0.000
3.589 3.883 0.000
-1.298 0.000 4.524
ATOMIC_POSITIONS crystal
Mn 0.000 0.000 0.000
V 0.163 0.504 0.830
V 0.166 0.834 0.500
V 0.496 0.837 0.170
V 0.504 0.163 0.830
V 0.834 0.166 0.500
V 0.837 0.496 0.170
W 0.326 0.326 0.324
W 0.674 0.674 0.676
```

Results
Volume in Å³ per atom: 14.008
SG: C2/m (12)
DOS(E_F) in states/eV per atom: 1.247

*b*
Here is MnV6W2 after structural relaxation from the Alexandria database. Energies are from GGA-PBE. Values from VASP.

```
&SYSTEM
  ibrav = 0, nat = 9, ntyp = 3
/
ATOMIC_SPECIES
Mn 54.94 Mn.upf
V 50.94 V.upf
W 183.84 W.upf
CELL_PARAMETERS angstrom
3.301 -6.564 0.000
3.301 6.564 0.000
-0.472 0.000 2.885
ATOMIC_POSITIONS crystal
Mn 0.000 0.000 0.000
V 0.177 0.499 0.164
V 0.328 0.328 0.672
V 0.499 0.177 0.164
V 0.501 0.823 0.836
V 0.672 0.672 0.328
V 0.823 0.501 0.836
W 0.162 0.838 0.500
W 0.838 0.162 0.500
```

Results
Volume in Å³ per atom: 13.891
SG: C2/m (12)
DOS(E_F) in states/eV per atom: 1.061

The data favor *b*; the next most stable structure lies 122 meV per atom above it.

*a*
Here is MnV8W2 after structural relaxation from the Alexandria database. Energies are from GGA-PBE. Values from VASP.

```
&SYSTEM
  ibrav = 0, nat = 11, ntyp = 3
/
ATOMIC_SPECIES
Mn 54.94 Mn.upf
V 50.94 V.upf
W 183.84 W.upf
CELL_PARAMETERS angstrom
4.989 -4.060 0.000
4.989 4.060 0.000
-1.894 0.000 4.261
ATOMIC_POSITIONS crystal
Mn 0.000 0.000 0.000
V 0.158 0.663 0.144
V 0.275 0.275 0.123
V 0.337 0.842 0.856
V 0.432 0.432 0.715
V 0.568 0.568 0.285
V 0.663 0.158 0.144
V 0.725 0.725 0.877
V 0.842 0.337 0.856
W 0.139 0.139 0.549
W 0.861 0.861 0.451
```

Results
Volume in Å³ per atom: 15.696
SG: C2/m (12)
DOS(E_F) in states/eV per atom: 1.106

*b*
Here is MnV8W2 after structural relaxation from the Alexandria database. Energies are from GGA-PBE. Values from VASP.

```
&SYSTEM
  ibrav = 0, nat = 11, ntyp = 3
/
ATOMIC_SPECIES
Mn 54.94 Mn.upf
V 50.94 V.upf
W 183.84 W.upf
CELL_PARAMETERS angstrom
5.985 -2.172 0.000
5.985 2.172 0.000
-3.481 0.000 6.006
ATOMIC_POSITIONS crystal
Mn 0.000 0.000 0.000
V 0.066 0.066 0.386
V 0.182 0.182 0.927
V 0.301 0.301 0.700
V 0.454 0.454 0.135
V 0.546 0.546 0.865
V 0.699 0.699 0.300
V 0.818 0.818 0.073
V 0.934 0.934 0.614
W 0.356 0.356 0.384
W 0.644 0.644 0.616
```

Results
Volume in Å³ per atom: 14.198
SG: C2/m (12)
DOS(E_F) in states/eV per atom: 1.262

The data favor *b*; the next most stable structure lies 407 meV per atom above it.

*a*
Here is Y2MnV after structural relaxation from the Alexandria database. Energies are from GGA-PBE. Values from VASP.

```
&SYSTEM
  ibrav = 0, nat = 8, ntyp = 3
/
ATOMIC_SPECIES
Y 88.91 Y.upf
Mn 54.94 Mn.upf
V 50.94 V.upf
CELL_PARAMETERS angstrom
-3.903 3.903 3.135
3.903 -3.903 3.135
3.903 3.903 -3.135
ATOMIC_POSITIONS crystal
Y 0.119 0.125 0.494
Y 0.375 0.881 0.006
Y 0.631 0.625 0.506
Y 0.875 0.369 0.994
Mn 0.000 0.000 0.000
Mn 0.750 0.250 0.500
V 0.250 0.750 0.500
V 0.500 0.500 0.000
```

Results
Volume in Å³ per atom: 23.877
SG: I-42d (122)
DOS(E_F) in states/eV per atom: 1.490

*b*
Here is Y2MnV after structural relaxation from the Alexandria database. Energies are from GGA-PBE. Values from VASP.

```
&SYSTEM
  ibrav = 0, nat = 4, ntyp = 3
/
ATOMIC_SPECIES
Y 88.91 Y.upf
Mn 54.94 Mn.upf
V 50.94 V.upf
CELL_PARAMETERS angstrom
0.000 3.570 3.570
3.570 0.000 3.570
3.570 3.570 0.000
ATOMIC_POSITIONS crystal
Y 0.250 0.250 0.250
Y 0.750 0.750 0.750
Mn 0.000 0.000 0.000
V 0.500 0.500 0.500
```

Results
Volume in Å³ per atom: 22.744
SG: Fm-3m (225)
DOS(E_F) in states/eV per atom: 1.075

The data favor *b*; the next most stable structure lies 419 meV per atom above it.

*a*
Here is MnVZn2 after structural relaxation from the Alexandria database. Energies are from GGA-PBE. Values from VASP.

```
&SYSTEM
  ibrav = 0, nat = 8, ntyp = 3
/
ATOMIC_SPECIES
Mn 54.94 Mn.upf
V 50.94 V.upf
Zn 65.41 Zn.upf
CELL_PARAMETERS angstrom
-3.483 3.483 2.513
3.483 -3.483 2.513
3.483 3.483 -2.513
ATOMIC_POSITIONS crystal
Mn 0.000 0.000 0.000
Mn 0.750 0.250 0.500
V 0.250 0.750 0.500
V 0.500 0.500 0.000
Zn 0.117 0.625 0.992
Zn 0.375 0.367 0.492
Zn 0.633 0.125 0.008
Zn 0.875 0.883 0.508
```

Results
Volume in Å³ per atom: 15.243
SG: I-42d (122)
DOS(E_F) in states/eV per atom: 0.638

*b*
Here is MnVZn2 after structural relaxation from the Alexandria database. Energies are from GGA-PBE. Values from VASP.

```
&SYSTEM
  ibrav = 0, nat = 4, ntyp = 3
/
ATOMIC_SPECIES
Mn 54.94 Mn.upf
V 50.94 V.upf
Zn 65.41 Zn.upf
CELL_PARAMETERS angstrom
1.310 0.756 9.629
-1.310 0.756 9.629
0.000 -1.513 9.629
ATOMIC_POSITIONS crystal
Mn 0.000 0.000 0.000
V 0.500 0.500 0.500
Zn 0.409 0.409 0.409
Zn 0.591 0.591 0.591
```

Results
Volume in Å³ per atom: 14.316
SG: R-3m (166)
DOS(E_F) in states/eV per atom: 1.011

The data favor *b*; the next most stable structure lies 71 meV per atom above it.